A plane-wave DFT calculation with PBE+U was carried out for an optimized crystal structure of PWCl2O.

Computed properties:
E above lowest polymorph = 30 meV/atom
Magnetization = 1.0 μB/cell

Cell: 4.995 4.995 4.935 Å, 90.00 90.00 90.00°
Last column: magnetic moment on the atom in μB.
Element x y z (fractional)
P (0.000, 0.000, 0.500)  0.57
O (0.500, 0.500, 0.500)  -1.38
W (0.000, 0.000, 0.000)  -0.43
Cl (0.000, 0.500, 0.000)  0.00
Cl (0.500, 0.000, 0.000)  0.00